(1)
VASP calculation (GGA-PBE) on BaSc3 after structural relaxation.

Geometry as POSCAR:
```
BaSc3
1.0
-1.878 2.843 5.641
1.878 -2.843 5.641
1.878 2.843 -5.641
Ba Sc
1 3
direct
0.000 0.000 0.000
0.273 0.773 0.500
0.500 0.500 0.000
0.727 0.227 0.500
```

Computed properties:
The space group is No. 71. The volume comes out at 120.5 Å³/cell. The calculation puts the energy relative to the lowest polymorph listed for this composition at 115.9 meV/atom. The calculation puts the energy of formation from the pure elements at 350.4 meV/atom.

(2)
VASP calculation (GGA-PBE) on SbPbW2 after structural relaxation.

Geometry as POSCAR:
```
SbPbW2
1.0
4.865 -1.659 0.000
4.865 1.659 0.000
-1.784 0.000 5.666
Sb Pb W
1 1 2
direct
0.000 0.000 0.000
0.500 0.500 0.500
0.248 0.248 0.841
0.752 0.752 0.159
```

Computed properties:
The space group is No. 12. The volume comes out at 91.5 Å³/cell. The calculation puts the energy relative to the lowest polymorph listed for this composition at 472.2 meV/atom. For the energy relative to the elements, uncorrected, the calculation gives 0.850 eV/atom.

(3)
VASP calculation (GGA-PBE) on CsAgAuCl6 after structural relaxation.

Geometry as POSCAR:
```
CsAgAuCl6
1.0
6.459 0.000 0.000
-2.098 6.487 0.000
-1.693 -0.981 8.101
Cs Ag Au Cl
1 1 1 6
direct
0.000 0.000 0.000
0.698 0.442 0.340
0.356 0.513 0.626
0.014 0.315 0.667
0.040 0.650 0.283
0.351 0.244 0.436
0.389 0.774 0.826
0.594 0.197 0.096
0.697 0.708 0.572
```

Computed properties:
The space group is No. 1. The volume comes out at 339.5 Å³/cell. For the energy relative to the elements, uncorrected, the calculation gives -0.696 eV/atom.

(4)
VASP calculation (GGA-PBE) on NpTcS2 after structural relaxation.

Geometry as POSCAR:
```
NpTcS2
1.0
1.556 0.898 8.641
-1.556 0.898 8.641
0.000 -1.796 8.641
Np Tc S
1 1 2
direct
0.000 0.000 0.000
0.500 0.500 0.500
0.413 0.413 0.413
0.587 0.587 0.587
```

Computed properties:
The space group is No. 166. The volume comes out at 72.4 Å³/cell. The calculation puts the energy relative to the lowest polymorph listed for this composition at 582.5 meV/atom. For the energy relative to the elements, uncorrected, the calculation gives -0.053 eV/atom.

(5)
VASP calculation (GGA-PBE) on AlNi after structural relaxation.

Geometry as POSCAR:
```
AlNi
1.0
5.659 -1.369 0.000
5.659 1.369 0.000
-1.311 0.000 4.877
Al Ni
3 3
direct
0.000 0.000 0.000
0.330 0.330 0.212
0.670 0.670 0.788
0.000 0.000 0.500
0.337 0.337 0.700
0.663 0.663 0.300
```

Computed properties:
The space group is No. 12. The volume comes out at 75.6 Å³/cell. The calculation puts the energy of formation from the pure elements at -441.8 meV/atom.

(6)
VASP calculation (GGA-PBE) on CuHg3N after structural relaxation.

Geometry as POSCAR:
```
CuHg3N
1.0
4.987 0.000 0.000
0.000 4.987 0.000
0.000 0.000 4.987
Cu Hg N
1 3 1
direct
0.000 0.000 0.000
0.000 0.000 0.500
0.000 0.500 0.000
0.500 0.000 0.000
0.500 0.500 0.500
```

Computed properties:
The space group is No. 221. The volume comes out at 124.1 Å³/cell. The calculation puts the energy relative to the lowest polymorph listed for this composition at 358.8 meV/atom. For the energy relative to the elements, uncorrected, the calculation gives 1.371 eV/atom.

(7)
VASP calculation (GGA-PBE) on PmEr2Sc2 after structural relaxation.

Geometry as POSCAR:
```
PmEr2Sc2
1.0
5.432 -2.426 0.000
5.432 2.426 0.000
-0.011 0.000 10.883
Pm Er Sc
2 4 4
direct
0.248 0.248 0.247
0.752 0.752 0.753
0.050 0.050 0.853
0.147 0.147 0.550
0.853 0.853 0.450
0.950 0.950 0.147
0.351 0.351 0.950
0.450 0.450 0.650
0.550 0.550 0.350
0.649 0.649 0.050
```

Computed properties:
The space group is No. 12. The volume comes out at 286.9 Å³/cell. The calculation puts the energy relative to the lowest polymorph listed for this composition at 0.0 meV/atom. The calculation puts the energy of formation from the pure elements at 53.3 meV/atom.

(8)
VASP calculation (GGA-PBE) on CaPm6YEr2 after structural relaxation.

Geometry as POSCAR:
```
CaPm6YEr2
1.0
4.577 -7.728 0.000
4.577 7.728 0.000
-1.439 0.000 9.729
Ca Pm Y Er
2 12 2 4
direct
0.098 0.902 0.750
0.902 0.098 0.250
0.001 0.211 0.623
0.068 0.529 0.177
0.211 0.001 0.123
0.262 0.615 0.551
0.385 0.738 0.949
0.471 0.932 0.323
0.529 0.068 0.677
0.615 0.262 0.051
0.738 0.385 0.449
0.789 0.999 0.877
0.932 0.471 0.823
0.999 0.789 0.377
0.474 0.526 0.250
0.526 0.474 0.750
0.200 0.303 0.957
0.303 0.200 0.457
0.697 0.800 0.543
0.800 0.697 0.043
```

Computed properties:
The space group is No. 15. The volume comes out at 688.3 Å³/cell. The calculation puts the energy of formation from the pure elements at 135.2 meV/atom.

(9)
VASP calculation (GGA-PBE) on Cs2MgTlCl6 after structural relaxation.

Geometry as POSCAR:
```
Cs2MgTlCl6
1.0
0.000 5.377 5.377
5.377 0.000 5.377
5.377 5.377 0.000
Cs Mg Tl Cl
2 1 1 6
direct
0.250 0.250 0.250
0.750 0.750 0.750
0.000 0.000 0.000
0.500 0.500 0.500
0.236 0.236 0.764
0.236 0.764 0.236
0.236 0.764 0.764
0.764 0.236 0.236
0.764 0.236 0.764
0.764 0.764 0.236
```

Computed properties:
The space group is No. 225. The volume comes out at 310.9 Å³/cell. For the energy relative to the elements, uncorrected, the calculation gives -1.579 eV/atom.

(10)
VASP calculation (GGA-PBE) on K2TlMo after structural relaxation.

Geometry as POSCAR:
```
K2TlMo
1.0
3.660 0.000 0.000
0.000 5.725 0.000
-0.248 0.000 6.119
K Tl Mo
2 1 1
direct
0.002 0.000 0.251
0.998 0.000 0.749
0.500 0.500 0.000
0.500 0.500 0.500
```

Computed properties:
The space group is No. 10. The volume comes out at 128.2 Å³/cell. The calculation puts the energy relative to the lowest polymorph listed for this composition at 298.0 meV/atom. The calculation puts the energy of formation from the pure elements at 1059.1 meV/atom.

(11)
VASP calculation (GGA-PBE) on SmPaMn after structural relaxation.

Geometry as POSCAR:
```
SmPaMn
1.0
4.063 0.000 0.000
-2.032 3.519 0.000
0.000 0.000 5.083
Sm Pa Mn
1 1 1
direct
0.000 0.000 0.000
0.667 0.333 0.500
0.333 0.667 0.500
```

Computed properties:
The space group is No. 187. The volume comes out at 72.7 Å³/cell. The calculation puts the energy relative to the lowest polymorph listed for this composition at 0.0 meV/atom. The calculation puts the energy of formation from the pure elements at 55.4 meV/atom.

(12)
VASP calculation (GGA-PBE) on LiRhW after structural relaxation.

Geometry as POSCAR:
```
LiRhW
1.0
-1.505 1.505 4.521
1.505 -1.505 4.521
1.505 1.505 -4.521
Li Rh W
1 1 1
direct
0.000 0.000 0.000
0.351 0.351 0.000
0.680 0.680 0.000
```

Computed properties:
The space group is No. 107. The volume comes out at 40.9 Å³/cell. The calculation puts the energy relative to the lowest polymorph listed for this composition at 25.0 meV/atom. The calculation puts the energy of formation from the pure elements at 135.0 meV/atom.

(13)
VASP calculation (GGA-PBE) on La2HgMoC after structural relaxation.

Geometry as POSCAR:
```
La2HgMoC
1.0
5.385 0.000 0.000
0.000 5.385 0.000
0.000 0.000 4.102
La Hg Mo C
2 1 1 1
direct
0.000 0.500 0.000
0.500 0.000 0.000
0.000 0.000 0.500
0.500 0.500 0.500
0.500 0.500 0.000
```

Computed properties:
The space group is No. 123. The volume comes out at 119.0 Å³/cell. The calculation puts the energy of formation from the pure elements at -103.3 meV/atom.

(14)
VASP calculation (GGA-PBE) on Si2GeSb after structural relaxation.

Geometry as POSCAR:
```
Si2GeSb
1.0
0.000 3.384 3.384
3.384 0.000 3.384
3.384 3.384 0.000
Si Ge Sb
2 1 1
direct
0.250 0.250 0.250
0.750 0.750 0.750
0.000 0.000 0.000
0.500 0.500 0.500
```

Computed properties:
The space group is No. 225. The volume comes out at 77.5 Å³/cell. The calculation puts the energy relative to the lowest polymorph listed for this composition at 260.5 meV/atom. For the energy relative to the elements, uncorrected, the calculation gives 0.550 eV/atom.

(15)
VASP calculation (GGA-PBE) on La2HfCl after structural relaxation.

Geometry as POSCAR:
```
La2HfCl
1.0
1.701 0.982 10.970
-1.701 0.982 10.970
0.000 -1.964 10.970
La Hf Cl
2 1 1
direct
0.094 0.094 0.094
0.906 0.906 0.906
0.000 0.000 0.000
0.500 0.500 0.500
```

Computed properties:
The space group is No. 166. The volume comes out at 109.9 Å³/cell. The calculation puts the energy relative to the lowest polymorph listed for this composition at 0.0 meV/atom. For the energy relative to the elements, uncorrected, the calculation gives -0.330 eV/atom.

(16)
VASP calculation (GGA-PBE) on Ca3Cl4 after structural relaxation.

Geometry as POSCAR:
```
Ca3Cl4
1.0
6.515 0.000 0.000
-3.257 5.642 0.000
0.000 0.000 5.395
Ca Cl
3 4
direct
0.000 0.500 0.000
0.500 0.000 0.000
0.500 0.500 0.000
0.000 0.000 0.251
0.000 0.000 0.749
0.333 0.667 0.500
0.667 0.333 0.500
```

Computed properties:
The space group is No. 191. The volume comes out at 198.3 Å³/cell. For the energy relative to the elements, uncorrected, the calculation gives -1.059 eV/atom.

(17)
VASP calculation (GGA-PBE) on AcScCdGa after structural relaxation.

Geometry as POSCAR:
```
AcScCdGa
1.0
0.000 3.768 3.768
3.768 0.000 3.768
3.768 3.768 0.000
Ac Sc Cd Ga
1 1 1 1
direct
0.000 0.000 0.000
0.500 0.500 0.500
0.750 0.750 0.750
0.250 0.250 0.250
```

Computed properties:
The space group is No. 216. The volume comes out at 107.0 Å³/cell. The calculation puts the energy of formation from the pure elements at -297.7 meV/atom.

(18)
VASP calculation (GGA-PBE) on SrAsPd3 after structural relaxation.

Geometry as POSCAR:
```
SrAsPd3
1.0
4.799 0.000 0.000
0.000 4.799 0.000
0.000 0.000 4.799
Sr As Pd
1 1 3
direct
0.000 0.000 0.000
0.500 0.500 0.500
0.000 0.500 0.500
0.500 0.000 0.500
0.500 0.500 0.000
```

Computed properties:
The space group is No. 221. The volume comes out at 110.5 Å³/cell. The calculation puts the energy relative to the lowest polymorph listed for this composition at 0.0 meV/atom. The calculation puts the energy of formation from the pure elements at -528.4 meV/atom.

(19)
VASP calculation (GGA-PBE) on InPHBr2 after structural relaxation.

Geometry as POSCAR:
```
InPHBr2
1.0
5.486 0.000 0.000
0.000 5.486 0.000
0.000 0.000 3.588
In P H Br
1 1 1 2
direct
0.000 0.000 0.000
0.500 0.500 0.000
0.000 0.000 0.500
0.000 0.500 0.500
0.500 0.000 0.500
```

Computed properties:
The space group is No. 123. The volume comes out at 108.0 Å³/cell. Its total energy is -2.4626 eV per atom.

(20)
VASP calculation (GGA-PBE) on BeNi3Rh after structural relaxation.

Geometry as POSCAR:
```
BeNi3Rh
1.0
3.867 0.000 0.000
0.000 3.867 0.000
0.000 0.000 3.867
Be Ni Rh
1 3 1
direct
0.000 0.000 0.000
0.000 0.000 0.500
0.000 0.500 0.000
0.500 0.000 0.000
0.500 0.500 0.500
```

Computed properties:
The space group is No. 221. The volume comes out at 57.8 Å³/cell. The calculation puts the energy relative to the lowest polymorph listed for this composition at 0.0 meV/atom. The calculation puts the energy of formation from the pure elements at 364.7 meV/atom.